No. 1
SrIrPt2 | the Alexandria database | PBE-GGA | relaxed; energy relative to the lowest polymorph listed for this composition = 501.6 meV/atom; ΔH_f (0 K) = 0.406 eV/atom
1.0
-9.245 -1.881 2.289
-7.989 -2.526 4.902
-8.720 0.279 4.258
Pt Sr Ir
2 1 1
Direct
0.257 0.257 0.257
0.002 0.002 0.002
0.500 0.500 0.500
0.742 0.742 0.742

=====

No. 2
LiMg2SnSe4 | the Alexandria database | PBE-GGA | relaxed; energy relative to the elements, uncorrected = -0.93 eV per atom
1.0
-3.811 -1.194 5.688
-1.838 -6.770 -2.653
6.831 -3.371 3.869
Se Sn Mg Li
8 2 4 2
Direct
0.391 0.166 0.000
0.872 0.339 0.269
0.372 0.661 0.231
0.891 0.834 0.500
0.872 0.339 0.731
0.371 0.173 0.500
0.871 0.827 0.000
0.372 0.661 0.769
0.995 0.174 0.000
0.495 0.826 0.500
0.998 0.665 0.249
0.498 0.335 0.251
0.998 0.665 0.751
0.498 0.335 0.749
0.503 0.842 0.000
0.003 0.158 0.500

=====

No. 3
Ga4Pt | the Alexandria database | PBE-GGA | relaxed; energy relative to the lowest polymorph listed for this composition = 14.6 meV/atom; ΔH_f (0 K) = -0.269 eV/atom
1.0
-2.424 3.529 3.041
-4.139 -0.058 -3.232
-2.634 -4.790 3.459
Ga Pt
8 2
Direct
0.260 0.892 0.655
0.760 0.608 0.845
0.392 0.760 0.155
0.608 0.240 0.155
0.740 0.108 0.655
0.240 0.392 0.845
0.892 0.740 0.345
0.108 0.260 0.345
0.000 0.000 0.000
0.500 0.500 0.500

=====

No. 4
NaLi2Pb8 | the Alexandria database | PBE-GGA | relaxed; ΔH_f (0 K) = -0.097 eV/atom
1.0
-1.278 -3.506 3.002
7.365 -4.820 -2.493
0.755 7.260 4.980
Pb Li Na
8 2 1
Direct
0.660 0.433 0.320
0.340 0.113 0.680
0.340 0.567 0.680
0.160 0.160 0.319
0.660 0.887 0.320
0.000 0.679 0.000
0.000 0.321 0.000
0.840 0.840 0.681
0.805 0.305 0.611
0.195 0.695 0.389
0.500 0.000 0.000